Here is an optimized crystal structure of CrSbI2F from the Alexandria database. Energies are from PBE with a Hubbard U.

Results
Offset from the most stable computed form ... 0.000 eV per atom
Electronic total energy ... -0.1283 Ha/atom
Density of states at the Fermi level ... 2.273 states/eV/f.u.
Theoretical density ... 4.89 g/cm3
Crystal system ... tetragonal

Lattice parameters (Å, degrees): 5.9991 5.9991 4.2156 90.00 90.00 90.00
Last column: nearest neighbours and their distance in Å.
Sites, in units of the cell vectors:
Cr  0.0000  0.0000  0.0000  8 I 3.67
Sb  0.5000  0.5000  0.0000  2 F 2.11
I  0.0000  0.5000  0.5000  2 F 3.00
I  0.5000  0.0000  0.5000  2 F 3.00
F  0.5000  0.5000  0.5000  2 Sb 2.11